[1]
# PrSmPdAu

Crystalline PrSmPdAu at its relaxed geometry (PBE, Alexandria via LeMat-Bulk).

Cell lengths 4.766, 3.906, 10.958 Å; angles 90.00, 90.00, 90.00 degrees
Space group Amm2 (No. 38)
Inequivalent atoms, fractional coordinates:
Pr 0.000 0.000 0.000 (multiplicity 2)
Sm 0.500 0.000 0.725 (multiplicity 2)
Pd 0.000 0.000 0.275 (multiplicity 2)
Au 0.500 0.000 0.444 (multiplicity 2)

Results
E_tot ... -5.30 eV per atom
V ... 102.0 Å³/f.u.
N(E_F) ... 5.8 states/eV per cell



[2]
# PrSmPdAu

Crystalline PrSmPdAu at its relaxed geometry (PBE, Alexandria via LeMat-Bulk).

Cell lengths 7.334, 7.334, 7.334 Å; angles 90.00, 90.00, 90.00 degrees
Space group F-43m (No. 216)
Inequivalent atoms, fractional coordinates:
Pr 0.000 0.000 0.000 (multiplicity 4)
Sm 0.000 0.000 0.500 (multiplicity 4)
Pd 0.250 0.250 0.250 (multiplicity 4)
Au 0.250 0.250 0.750 (multiplicity 4)

Results
E_tot ... -5.24 eV per atom
V ... 98.6 Å³/f.u.
N(E_F) ... 11.8 states/eV per cell



[3]
# Pr2Sn4PdAu3

Crystalline Pr2Sn4PdAu3 at its relaxed geometry (PBE, Alexandria via LeMat-Bulk).

Cell lengths 4.602, 4.602, 11.454 Å; angles 90.00, 90.00, 90.00 degrees
Space group P-4m2 (No. 115)
Inequivalent atoms, fractional coordinates:
Pr 0.000 0.500 0.230 (multiplicity 2)
Sn 0.000 0.000 0.500 (multiplicity 1)
Sn 0.000 0.500 0.874 (multiplicity 2)
Sn 0.500 0.500 0.500 (multiplicity 1)
Pd 0.500 0.500 0.000 (multiplicity 1)
Au 0.000 0.000 0.000 (multiplicity 1)
Au 0.000 0.500 0.643 (multiplicity 2)

Results
E_tot ... -4.67 eV per atom
V ... 242.5 Å³/f.u.
N(E_F) ... 5.1 states/eV per cell



[4]
# Pr2Sn3Pd4Au

Crystalline Pr2Sn3Pd4Au at its relaxed geometry (PBE, Alexandria via LeMat-Bulk).

Cell lengths 4.511, 4.511, 11.032 Å; angles 90.00, 90.00, 90.00 degrees
Space group P-4m2 (No. 115)
Inequivalent atoms, fractional coordinates:
Pr 0.000 0.500 0.241 (multiplicity 2)
Sn 0.000 0.000 0.000 (multiplicity 1)
Sn 0.000 0.500 0.627 (multiplicity 2)
Pd 0.000 0.000 0.500 (multiplicity 1)
Pd 0.000 0.500 0.861 (multiplicity 2)
Pd 0.500 0.500 0.500 (multiplicity 1)
Au 0.500 0.500 0.000 (multiplicity 1)

Results
E_tot ... -5.28 eV per atom
V ... 224.5 Å³/f.u.
N(E_F) ... 5.6 states/eV per cell



[5]
# Pr2Sn4Pd3Au

Crystalline Pr2Sn4Pd3Au at its relaxed geometry (PBE, Alexandria via LeMat-Bulk).

Cell lengths 4.610, 4.610, 10.889 Å; angles 90.00, 90.00, 90.00 degrees
Space group P-4m2 (No. 115)
Inequivalent atoms, fractional coordinates:
Pr 0.000 0.500 0.243 (multiplicity 2)
Sn 0.000 0.000 0.500 (multiplicity 1)
Sn 0.000 0.500 0.865 (multiplicity 2)
Sn 0.500 0.500 0.500 (multiplicity 1)
Pd 0.000 0.000 0.000 (multiplicity 1)
Pd 0.000 0.500 0.627 (multiplicity 2)
Au 0.500 0.500 0.000 (multiplicity 1)

Results
E_tot ... -5.18 eV per atom
V ... 231.4 Å³/f.u.
N(E_F) ... 4.4 states/eV per cell



[6]
# PrZn2PdAu5

Crystalline PrZn2PdAu5 at its relaxed geometry (PBE, Alexandria via LeMat-Bulk).

Cell lengths 4.944, 4.944, 7.358 Å; angles 90.00, 90.00, 90.00 degrees
Space group P4/mmm (No. 123)
Inequivalent atoms, fractional coordinates:
Pr 0.000 0.000 0.000 (multiplicity 1)
Zn 0.500 0.500 0.341 (multiplicity 2)
Pd 0.000 0.000 0.500 (multiplicity 1)
Au 0.000 0.500 0.281 (multiplicity 4)
Au 0.500 0.500 0.000 (multiplicity 1)

Results
E_tot ... -3.43 eV per atom
V ... 179.8 Å³/f.u.
N(E_F) ... 3.0 states/eV per cell



[7]
# Pr2Zn2Pd5Au

Crystalline Pr2Zn2Pd5Au at its relaxed geometry (PBE, Alexandria via LeMat-Bulk).

Cell lengths 9.752, 9.752, 3.911 Å; angles 90.00, 90.00, 90.00 degrees
Space group P4/mbm (No. 127)
Inequivalent atoms, fractional coordinates:
Pr 0.181 0.319 0.000 (multiplicity 4)
Zn 0.116 0.616 0.000 (multiplicity 4)
Pd 0.000 0.500 0.500 (multiplicity 2)
Pd 0.065 0.793 0.500 (multiplicity 8)
Au 0.000 0.000 0.000 (multiplicity 2)

Results
E_tot ... -4.74 eV per atom
V ... 186.0 Å³/f.u.
N(E_F) ... 7.0 states/eV per cell



[8]
# PrZn2Pd5Au

Crystalline PrZn2Pd5Au at its relaxed geometry (PBE, Alexandria via LeMat-Bulk).

Cell lengths 4.658, 4.658, 7.547 Å; angles 90.00, 90.00, 90.00 degrees
Space group P4/mmm (No. 123)
Inequivalent atoms, fractional coordinates:
Pr 0.000 0.000 0.000 (multiplicity 1)
Zn 0.500 0.500 0.344 (multiplicity 2)
Pd 0.000 0.500 0.252 (multiplicity 4)
Pd 0.500 0.500 0.000 (multiplicity 1)
Au 0.000 0.000 0.500 (multiplicity 1)

Results
E_tot ... -4.40 eV per atom
V ... 163.8 Å³/f.u.
N(E_F) ... 1.7 states/eV per cell



[9]
# PrZn3PdAu

Crystalline PrZn3PdAu at its relaxed geometry (PBE, Alexandria via LeMat-Bulk).

Cell lengths 7.970, 11.358, 5.631 Å; angles 90.00, 90.00, 90.00 degrees
Space group Cmcm (No. 63)
Inequivalent atoms, fractional coordinates:
Pr 0.000 0.199 0.250 (multiplicity 4)
Zn 0.000 0.334 0.750 (multiplicity 4)
Zn 0.246 0.000 0.000 (multiplicity 8)
Pd 0.000 0.443 0.250 (multiplicity 4)
Au 0.000 0.099 0.750 (multiplicity 4)

Results
E_tot ... -3.17 eV per atom
V ... 127.4 Å³/f.u.
N(E_F) ... 10.6 states/eV per cell



[10]
# Pr2Zn4PdAu3

Crystalline Pr2Zn4PdAu3 at its relaxed geometry (PBE, Alexandria via LeMat-Bulk).

Cell lengths 4.331, 4.331, 10.950 Å; angles 90.00, 90.00, 90.00 degrees
Space group P-4m2 (No. 115)
Inequivalent atoms, fractional coordinates:
Pr 0.000 0.500 0.243 (multiplicity 2)
Zn 0.000 0.000 0.500 (multiplicity 1)
Zn 0.000 0.500 0.873 (multiplicity 2)
Zn 0.500 0.500 0.500 (multiplicity 1)
Pd 0.500 0.500 0.000 (multiplicity 1)
Au 0.000 0.000 0.000 (multiplicity 1)
Au 0.000 0.500 0.640 (multiplicity 2)

Results
E_tot ... -3.51 eV per atom
V ... 205.4 Å³/f.u.
N(E_F) ... 6.7 states/eV per cell



[11]
# PrZnPdAu

Crystalline PrZnPdAu at its relaxed geometry (PBE, Alexandria via LeMat-Bulk).

Cell lengths 6.940, 6.940, 6.940 Å; angles 90.00, 90.00, 90.00 degrees
Space group F-43m (No. 216)
Inequivalent atoms, fractional coordinates:
Pr 0.000 0.000 0.000 (multiplicity 4)
Zn 0.000 0.000 0.500 (multiplicity 4)
Pd 0.250 0.250 0.250 (multiplicity 4)
Au 0.250 0.250 0.750 (multiplicity 4)

Results
E_tot ... -4.18 eV per atom
V ... 83.6 Å³/f.u.
N(E_F) ... 11.3 states/eV per cell



[12]
# PrZn5Pd2Au

Crystalline PrZn5Pd2Au at its relaxed geometry (PBE, Alexandria via LeMat-Bulk).

Cell lengths 4.858, 4.858, 7.403 Å; angles 90.00, 90.00, 90.00 degrees
Space group P4/mmm (No. 123)
Inequivalent atoms, fractional coordinates:
Pr 0.000 0.000 0.000 (multiplicity 1)
Zn 0.000 0.500 0.305 (multiplicity 4)
Zn 0.500 0.500 0.000 (multiplicity 1)
Pd 0.500 0.500 0.320 (multiplicity 2)
Au 0.000 0.000 0.500 (multiplicity 1)

Results
E_tot ... -3.00 eV per atom
V ... 174.7 Å³/f.u.
N(E_F) ... 4.2 states/eV per cell



Q: What is the V in the fifth record?
A: 231.4 Å³/f.u.